Record 1
Material: HfTi3Br
Method: DFT, GGA-PBE
State: optimized geometry

Unit cell a=4.6650 b=4.6650 c=4.6650 alpha=90.00 beta=90.00 gamma=90.00
Element x y z (fractional)
Hf  0.0000  0.0000  0.0000
Ti  0.0000  0.5000  0.5000
Ti  0.5000  0.0000  0.5000
Ti  0.5000  0.5000  0.0000
Br  0.5000  0.5000  0.5000

Summary:
Density of states at the Fermi level ... 4.92 states/eV per cell
Symmetry ... No. 221
Formation energy from raw total energies ... 1.812 eV per formula unit
Crystal system ... cubic
Raw total energy ... -6.700 eV/atom

Record 2
Material: BaCrFe2
Method: DFT, GGA-PBE
State: optimized geometry

Unit cell a=5.8307 b=5.8307 c=5.8307 alpha=147.60 beta=127.16 gamma=63.36
Element x y z (fractional)
Ba  0.0000  0.0000  0.0000
Cr  0.2981  0.7981  0.5000
Fe  0.5478  0.5478  0.0000
Fe  0.7180  0.2180  0.5000

Summary:
ΔH_f (0 K) ... 1.030 eV/atom
Density of states at the Fermi level ... 4.72 states/eV per cell
Symmetry ... No. 44
Crystal system ... orthorhombic
Raw total energy ... -6.088 eV/atom

Record 3
Material: CaRhCF
Method: DFT, GGA-PBE
State: optimized geometry

Unit cell a=3.3855 b=3.3855 c=7.0444 alpha=94.08 beta=94.08 gamma=59.79
Element x y z (fractional)
Ca  0.0000  0.0000  0.0000
Rh  0.9648  0.9648  0.6227
C  0.6390  0.6390  0.6929
F  0.3462  0.3462  0.1375

Summary:
Density of states at the Fermi level ... 1.87 states/eV per cell
Symmetry ... No. 8
Formation energy from raw total energies ... -3.974 eV per formula unit
Crystal system ... monoclinic
Raw total energy ... -6.105 eV/atom

Record 4
Material: TbInSeS
Method: DFT, GGA-PBE
State: optimized geometry

Unit cell a=8.1275 b=8.1275 c=8.1275 alpha=29.17 beta=29.17 gamma=29.17
Element x y z (fractional)
Tb  0.0000  0.0000  0.0000
In  0.1695  0.1695  0.1695
Se  0.5910  0.5910  0.5910
S  0.3912  0.3912  0.3912

Summary:
Symmetry ... No. 160
Formation energy from raw total energies ... -5.354 eV per formula unit
Crystal system ... trigonal
Raw total energy ... -5.084 eV/atom

Record 5
Material: PuBN2Cl
Method: DFT, GGA-PBE
State: optimized geometry

Unit cell a=5.4768 b=3.6125 c=7.3983 alpha=90.00 beta=98.91 gamma=90.00
Element x y z (fractional)
Pu  0.1642  0.2500  0.2126
Pu  0.8358  0.7500  0.7874
B  0.3515  0.2500  0.8445
B  0.6485  0.7500  0.1555
N  0.1147  0.2500  0.8772
N  0.4073  0.7500  0.1671
N  0.5927  0.2500  0.8329
N  0.8853  0.7500  0.1228
Cl  0.2440  0.7500  0.5317
Cl  0.7560  0.2500  0.4683

Summary:
Density of states at the Fermi level ... 15.15 states/eV per cell
Symmetry ... No. 11
Formation energy from raw total energies ... -5.184 eV per formula unit
Crystal system ... monoclinic
Raw total energy ... -8.938 eV/atom

Record 6
Material: Ti6AgBi
Method: DFT, GGA-PBE
State: optimized geometry

Unit cell a=4.7791 b=5.7737 c=5.7737 alpha=65.16 beta=90.00 gamma=90.00
Element x y z (fractional)
Ti  0.0000  0.0000  0.0000
Ti  0.0000  0.4855  0.9384
Ti  0.0000  0.9384  0.4855
Ti  0.5000  0.2519  0.2519
Ti  0.5000  0.2964  0.7690
Ti  0.5000  0.7690  0.2964
Ag  0.5000  0.7957  0.7957
Bi  0.0000  0.4494  0.4494

Summary:
ΔH_f (0 K) ... -0.012 eV/atom
Density of states at the Fermi level ... 11.39 states/eV per cell
Symmetry ... No. 38
Crystal system ... orthorhombic
Raw total energy ... -6.774 eV/atom

Record 7
Material: LaCdRe2
Method: DFT, GGA-PBE
State: optimized geometry

Unit cell a=5.7558 b=5.7558 c=2.8584 alpha=101.50 beta=101.50 gamma=117.69
Element x y z (fractional)
La  0.0000  0.0000  0.0000
Cd  0.5000  0.5000  0.0000
Re  0.0000  0.5000  0.5000
Re  0.5000  0.0000  0.5000

Summary:
ΔH_f (0 K) ... 0.765 eV/atom
Density of states at the Fermi level ... 3.87 states/eV per cell
Symmetry ... No. 12
Crystal system ... monoclinic
Raw total energy ... -6.920 eV/atom

Record 8
Material: VCr2OsPd
Method: DFT, GGA-PBE
State: optimized geometry

Unit cell a=4.4993 b=4.4993 c=4.9444 alpha=90.00 beta=90.00 gamma=90.00
Element x y z (fractional)
V  0.0000  0.0000  0.0000
Cr  0.0000  0.5000  0.5000
Cr  0.5000  0.0000  0.5000
Os  0.5000  0.5000  0.5000
Pd  0.5000  0.5000  0.0000

Summary:
ΔH_f (0 K) ... 1.576 eV/atom
Density of states at the Fermi level ... 9.48 states/eV per cell
Symmetry ... No. 123
Crystal system ... tetragonal
Raw total energy ... -7.382 eV/atom